1.
## LaTh4As6 (PBE)

Data for a geometry-optimized LaTh4As6 structure.

Results
**Total energy**: -6.83 eV per atom
**Magnetic moment**: 0.00 μB/cell

a = 11.8198 Å, b = 11.8198 Å, c = 14.5645 Å
α = 90.00°, β = 90.00°, γ = 120.00°
Space group R-3c (No. 167, hexagonal axes)
One atom of each set of equivalent atoms:
La 0.0000 0.0000 0.0000 (multiplicity 6)
Th 0.0000 0.0000 0.2500 (multiplicity 6)
Th 0.0000 0.3866 0.2500 (multiplicity 18)
As 0.0314 0.2131 0.3827 (multiplicity 36)

=====

2.
## NaRe3Sb (PBE)

Data for a geometry-optimized NaRe3Sb structure.

Results
**Polymorph energy (0 for the lowest one)**: 0.449 eV/atom
**Magnetic moment**: 4.81 μB/cell

a = 4.581 Å, b = 4.581 Å, c = 4.581 Å
α = 90.00°, β = 90.00°, γ = 90.00°
Space group Pm-3m (No. 221)
One atom of each set of equivalent atoms:
Na 0.000 0.000 0.000 (multiplicity 1)
Re 0.000 0.000 0.500 (multiplicity 3)
Sb 0.500 0.500 0.500 (multiplicity 1)

=====

3.
## LaHo2Sn2Hg2 (PBE)

Data for a geometry-optimized LaHo2Sn2Hg2 structure.

Results
**Total energy**: -3.62 eV per atom
**Magnetic moment**: 0.00 μB/cell

a = 5.0233 Å, b = 5.0233 Å, c = 26.9041 Å
α = 90.00°, β = 90.00°, γ = 120.00°
Space group R-3m (No. 166, hexagonal axes)
One atom of each set of equivalent atoms:
La 0.0000 0.0000 0.0000 (multiplicity 3)
Ho 0.0000 0.0000 0.1323 (multiplicity 6)
Sn 0.0000 0.0000 0.2655 (multiplicity 6)
Hg 0.0000 0.0000 0.4352 (multiplicity 6)

=====

Which value of magnetic moment does entry 2 give?
4.81 μB/cell

=====

Which formula does entry 3 have?
LaHo2Sn2Hg2